A geometry-optimized Th2MgNi12P3 structure. Source: the Alexandria database, functional PBE.

Lattice parameters (Å, degrees): 6.6134 6.6134 6.6134 76.93 76.93 76.93
Last column: nearest neighbours and their distance in Å.
Fractional coordinates of all 18 atoms:
Th1 0.1221 0.1221 0.1221  3 Ni 2.46
Th2 0.8779 0.8779 0.8779  3 Ni 2.46
Mg1 0.5000 0.5000 0.5000  6 Ni 2.43
Ni1 0.1458 0.6562 0.6562  1 P 2.11
Ni2 0.1813 0.1813 0.6216  2 P 2.25
Ni3 0.1813 0.6216 0.1813  2 P 2.25
Ni4 0.3438 0.3438 0.8542  1 P 2.11
Ni5 0.3438 0.8542 0.3438  1 P 2.11
Ni6 0.3784 0.8187 0.8187  2 P 2.25
Ni7 0.6216 0.1813 0.1813  2 P 2.25
Ni8 0.6562 0.1458 0.6562  1 P 2.11
Ni9 0.6562 0.6562 0.1458  1 P 2.11
Ni10 0.8187 0.3784 0.8187  2 P 2.25
Ni11 0.8187 0.8187 0.3784  2 P 2.25
Ni12 0.8542 0.3438 0.3438  1 P 2.11
P1 0.0000 0.5000 0.5000  6 Ni 2.11-2.25
P2 0.5000 0.0000 0.5000  6 Ni 2.11-2.25
P3 0.5000 0.5000 0.0000  6 Ni 2.11-2.25

Values from the calculation:
total magnetic moment: 0.0000 μB/atom
formation energy: -0.1663 eV per atom